DFT (PBE) results for a relaxed structure of Ca2AlH.

Output
* E_tot: -35.0 eV/cell
* Fermi-level density of states: 4.68 states/eV per cell
* density: 1.968 Mg/m³

Structure (CIF):
```
data_Ca2AlH
_symmetry_space_group_name_H-M 'R -3 m'
_symmetry_Int_Tables_number 166
_symmetry_space_group_name_Hall '-R 3 2"'
_cell_length_a 3.7495
_cell_length_b 3.7495
_cell_length_c 22.4879
_cell_angle_alpha 90.00
_cell_angle_beta 90.00
_cell_angle_gamma 120.00
loop_
_atom_site_label
_atom_site_type_symbol
_atom_site_fract_x
_atom_site_fract_y
_atom_site_fract_z
Ca1 Ca 0.0000 0.0000 0.2335
Al1 Al 0.0000 0.0000 0.0000
H1 H 0.0000 0.0000 0.5000
```